{"formula": "Sm6PRh2I3", "functional": "PBE", "state": "optimized geometry", "formation_energy_uncorrected_mev_per_atom": -1028.3, "m_tot_mub_per_fu": 0.0, "energy_ev_per_cell": -65.4, "dos_at_fermi_per_ev_fu": 2.60, "lattice": [[3.629, -6.281, 0.000], [3.629, 6.281, 0.000], [-2.395, 0.000, 7.912]], "species": ["Sm", "Sm", "Sm", "Sm", "Sm", "Sm", "P", "Rh", "Rh", "I", "I", "I"], "frac_coords": [[0.097, 0.438, 0.815], [0.219, 0.219, 0.185], [0.438, 0.097, 0.815], [0.562, 0.903, 0.185], [0.781, 0.781, 0.815], [0.903, 0.562, 0.185], [0.500, 0.500, 0.000], [0.167, 0.833, 0.000], [0.833, 0.167, 0.000], [0.000, 0.000, 0.500], [0.336, 0.664, 0.500], [0.664, 0.336, 0.500]]}


{"formula": "Sm8PRh3I3", "functional": "PBE", "state": "optimized geometry", "formation_energy_uncorrected_mev_per_atom": -871.7, "m_tot_mub_per_fu": 0.0, "energy_ev_per_cell": -82.9, "dos_at_fermi_per_ev_fu": 10.97, "lattice": [[4.171, 2.408, 7.758], [-4.171, 2.408, 7.758], [0.000, -4.817, 7.758]], "species": ["Sm", "Sm", "Sm", "Sm", "Sm", "Sm", "Sm", "Sm", "P", "Rh", "Rh", "Rh", "I", "I", "I"], "frac_coords": [[0.221, 0.734, 0.734], [0.230, 0.230, 0.230], [0.266, 0.266, 0.779], [0.266, 0.779, 0.266], [0.734, 0.221, 0.734], [0.734, 0.734, 0.221], [0.770, 0.770, 0.770], [0.779, 0.266, 0.266], [0.500, 0.500, 0.500], [0.000, 0.000, 0.500], [0.000, 0.500, 0.000], [0.500, 0.000, 0.000], [0.000, 0.500, 0.500], [0.500, 0.000, 0.500], [0.500, 0.500, 0.000]]}


{"formula": "TePRhI2", "functional": "PBE", "state": "optimized geometry", "formation_energy_uncorrected_mev_per_atom": 977.2, "m_tot_mub_per_fu": 2.2, "energy_ev_per_cell": -14.1, "e_above_lowest_polymorph_mev_per_atom": 250, "dos_at_fermi_per_ev_fu": 8.79, "lattice": [[5.337, 0.000, 0.000], [0.000, 5.337, 0.000], [0.000, 0.000, 5.366]], "species": ["Te", "P", "Rh", "I", "I"], "frac_coords": [[0.000, 0.000, 0.000], [0.000, 0.000, 0.500], [0.500, 0.500, 0.000], [0.000, 0.500, 0.500], [0.500, 0.000, 0.500]]}


{"formula": "TePRhI2", "functional": "PBE", "state": "optimized geometry", "formation_energy_uncorrected_mev_per_atom": 726.8, "m_tot_mub_per_fu": 0.0, "energy_ev_per_cell": -15.4, "e_above_lowest_polymorph_mev_per_atom": 0, "dos_at_fermi_per_ev_fu": 4.78, "lattice": [[5.327, 0.000, 0.000], [0.000, 5.327, 0.000], [0.000, 0.000, 5.166]], "species": ["Te", "P", "Rh", "I", "I"], "frac_coords": [[0.000, 0.000, 0.000], [0.500, 0.500, 0.000], [0.000, 0.000, 0.500], [0.000, 0.500, 0.500], [0.500, 0.000, 0.500]]}


{"formula": "P3RuI", "functional": "PBE", "state": "optimized geometry", "formation_energy_uncorrected_mev_per_atom": 600.5, "m_tot_mub_per_fu": 0.0, "energy_ev_per_cell": -24.1, "e_above_lowest_polymorph_mev_per_atom": 0, "dos_at_fermi_per_ev_fu": 5.01, "lattice": [[4.666, 0.000, 0.000], [0.000, 4.666, 0.000], [0.000, 0.000, 4.666]], "species": ["P", "P", "P", "Ru", "I"], "frac_coords": [[0.000, 0.000, 0.500], [0.000, 0.500, 0.000], [0.500, 0.000, 0.000], [0.000, 0.000, 0.000], [0.500, 0.500, 0.500]]}


{"formula": "PRu3I", "functional": "PBE", "state": "optimized geometry", "formation_energy_uncorrected_mev_per_atom": 2078.9, "m_tot_mub_per_fu": 3.0, "energy_ev_per_cell": -24.4, "e_above_lowest_polymorph_mev_per_atom": 1375, "dos_at_fermi_per_ev_fu": 7.64, "lattice": [[4.816, 0.000, 0.000], [0.000, 4.816, 0.000], [0.000, 0.000, 4.816]], "species": ["P", "Ru", "Ru", "Ru", "I"], "frac_coords": [[0.000, 0.000, 0.000], [0.000, 0.500, 0.500], [0.500, 0.000, 0.500], [0.500, 0.500, 0.000], [0.500, 0.500, 0.500]]}


{"formula": "P2RuI", "functional": "PBE", "state": "optimized geometry", "formation_energy_uncorrected_mev_per_atom": 1040.4, "m_tot_mub_per_fu": 0.0, "energy_ev_per_cell": -17.5, "e_above_lowest_polymorph_mev_per_atom": 829, "dos_at_fermi_per_ev_fu": 3.03, "lattice": [[0.000, 3.240, 3.240], [3.240, 0.000, 3.240], [3.240, 3.240, 0.000]], "species": ["P", "P", "Ru", "I"], "frac_coords": [[0.250, 0.250, 0.250], [0.750, 0.750, 0.750], [0.000, 0.000, 0.000], [0.500, 0.500, 0.500]]}


{"formula": "PRuI3", "functional": "PBE", "state": "optimized geometry", "formation_energy_uncorrected_mev_per_atom": 895.9, "m_tot_mub_per_fu": 0.0, "energy_ev_per_cell": -14.9, "e_above_lowest_polymorph_mev_per_atom": 0, "dos_at_fermi_per_ev_fu": 4.90, "lattice": [[5.311, 0.000, 0.000], [0.000, 5.311, 0.000], [0.000, 0.000, 5.311]], "species": ["P", "Ru", "I", "I", "I"], "frac_coords": [[0.000, 0.000, 0.000], [0.500, 0.500, 0.500], [0.000, 0.500, 0.500], [0.500, 0.000, 0.500], [0.500, 0.500, 0.000]]}


What did the second record say?
{"formula": "Sm8PRh3I3", "functional": "PBE", "state": "optimized geometry", "formation_energy_uncorrected_mev_per_atom": -871.7, "m_tot_mub_per_fu": 0.0, "energy_ev_per_cell": -82.9, "dos_at_fermi_per_ev_fu": 10.97, "lattice": [[4.171, 2.408, 7.758], [-4.171, 2.408, 7.758], [0.000, -4.817, 7.758]], "species": ["Sm", "Sm", "Sm", "Sm", "Sm", "Sm", "Sm", "Sm", "P", "Rh", "Rh", "Rh", "I", "I", "I"], "frac_coords": [[0.221, 0.734, 0.734], [0.230, 0.230, 0.230], [0.266, 0.266, 0.779], [0.266, 0.779, 0.266], [0.734, 0.221, 0.734], [0.734, 0.734, 0.221], [0.770, 0.770, 0.770], [0.779, 0.266, 0.266], [0.500, 0.500, 0.500], [0.000, 0.000, 0.500], [0.000, 0.500, 0.000], [0.500, 0.000, 0.000], [0.000, 0.500, 0.500], [0.500, 0.000, 0.500], [0.500, 0.500, 0.000]]}


> What is the formula in the fifth record?

P3RuI


> What is the formula in the third record?

TePRhI2